[1]
Computed, not measured: a geometry-optimized Li2HfMgGa2Pd2 structure at the PBE level of DFT.

abc: 4.4623 4.4623 6.2810
angles: 90.00 90.00 90.00
With the nearest neighbours (Å) after each atom.
Space group P-4m2 (No. 115)
Asymmetric unit:
1 Li 0.0000 0.5000 0.2284 x2  2 Mg 2.65, 4 Ga 2.65-2.81, 2 Hf 2.81
2 Hf 0.0000 0.0000 0.5000 x1  4 Pd 2.70, 4 Li 2.81
3 Mg 0.5000 0.5000 0.0000 x1  4 Li 2.65, 4 Pd 2.76
4 Ga 0.0000 0.0000 0.0000 x1  4 Li 2.65, 4 Pd 2.76
5 Ga 0.5000 0.5000 0.5000 x1  4 Pd 2.70, 4 Li 2.81
6 Pd 0.0000 0.5000 0.7409 x2  2 Hf 2.70, 4 Ga 2.70-2.76, 2 Mg 2.76

[2]
Computed, not measured: a geometry-optimized NbAlNiOs structure at the PBE level of DFT.

abc: 6.1532 6.1532 6.1532
angles: 90.00 90.00 90.00
With the nearest neighbours (Å) after each atom.
Space group F-43m (No. 216)
Asymmetric unit:
1 Nb 0.0000 0.0000 0.0000 x4  4 Os 2.66, 4 Al 2.66
2 Al 0.2500 0.2500 0.2500 x4  4 Nb 2.66, 4 Ni 2.66
3 Ni 0.0000 0.0000 0.5000 x4  4 Os 2.66, 4 Al 2.66
4 Os 0.2500 0.2500 0.7500 x4  4 Nb 2.66, 4 Ni 2.66

[3]
Computed, not measured: a geometry-optimized DyHoPO structure at the PBE level of DFT.

abc: 4.1353 7.4820 5.6623
angles: 90.00 90.00 90.00
With the nearest neighbours (Å) after each atom.
Space group Pmc2_1 (No. 26)
Asymmetric unit:
1 Dy 0.0000 0.2025 0.0000 x2  2 O 2.29
2 Ho 0.5000 0.3781 0.5577 x2  2 O 2.24-2.28
3 P 0.0000 0.1616 0.4957 x2  2 Ho 2.65, 3 Dy 2.72-2.87
4 O 0.5000 0.3288 0.9473 x2  2 Ho 2.24-2.28, 2 Dy 2.29

[4]
Computed, not measured: a geometry-optimized HgPbSO structure at the PBE level of DFT.

abc: 3.8335 14.8333 6.3390
angles: 90.00 90.00 90.00
With the nearest neighbours (Å) after each atom.
Space group Cmc2_1 (No. 36)
Asymmetric unit:
1 Hg 0.0000 0.1689 0.0000 x4  2 O 2.38, 1 S 2.59
2 Pb 0.0000 0.4286 0.0408 x4  2 O 2.31-2.45
3 S 0.0000 0.1977 0.4031 x4  3 Hg 2.59-2.82, 2 Pb 2.82
4 O 0.0000 0.4170 0.4039 x4  2 Pb 2.31-2.45, 2 Hg 2.38

[5]
Computed, not measured: a geometry-optimized RbTaCuTe2Se structure at the PBE level of DFT.

abc: 3.9402 16.5467 10.2255
angles: 90.00 90.00 90.00
With the nearest neighbours (Å) after each atom.
Space group Cmcm (No. 63)
Asymmetric unit:
1 Rb 0.0000 0.2404 0.2500 x4  2 Se 3.62, 6 Te 3.63-3.68, 2 Rb 3.94
2 Ta 0.0000 0.5000 0.0000 x4  2 Se 2.72, 4 Te 2.84
3 Cu 0.0000 0.0288 0.7500 x4  2 Se 2.43, 2 Te 2.57
4 Te 0.0000 0.1201 0.5472 x8  1 Cu 2.57, 2 Ta 2.84
5 Se 0.0000 0.4430 0.7500 x4  2 Cu 2.43

[6]
Computed, not measured: a geometry-optimized TlOsCl6 structure at the PBE level of DFT.

abc: 6.7278 6.7278 18.3639
angles: 90.00 90.00 120.00
With the nearest neighbours (Å) after each atom.
Space group R-3m (No. 166, hexagonal axes)
Asymmetric unit:
1 Tl 0.0000 0.0000 0.0000 x3  12 Cl 3.78
2 Os 0.0000 0.0000 0.5000 x3  6 Cl 2.31
3 Cl 0.0100 0.5050 0.0936 x18  1 Os 2.31

[7]
Computed, not measured: a geometry-optimized Lu3AlNi8 structure at the PBE level of DFT.

abc: 4.9892 4.9892 15.8407
angles: 90.00 90.00 120.00
With the nearest neighbours (Å) after each atom.
Space group P6_3/mmc (No. 194)
Asymmetric unit:
1 Lu 0.3333 0.6667 0.0448 x4  9 Ni 2.80-3.03, 3 Al 2.97
2 Lu 0.3333 0.6667 0.2500 x2  18 Ni 2.88-3.19
3 Al 0.0000 0.0000 0.0000 x2  6 Ni 2.45
4 Ni 0.0000 0.0000 0.2500 x2  6 Ni 2.47
5 Ni 0.1693 0.3387 0.6243 x12  6 Ni 2.44-2.53, 1 Al 2.45
6 Ni 0.3333 0.6667 0.7500 x2  6 Ni 2.44

[8]
Computed, not measured: a geometry-optimized La3PrAu4 structure at the PBE level of DFT.

abc: 5.9650 4.8572 7.5398
angles: 90.00 90.24 90.00
With the nearest neighbours (Å) after each atom.
Space group Pm (No. 6)
Asymmetric unit:
1 La 0.0000 0.0000 0.0000 x1  7 Au 3.13-3.22
2 La 0.2160 0.0000 0.4974 x1  7 Au 3.13-3.23
3 La 0.7143 0.5000 0.6298 x1  7 Au 3.14-3.23
4 Pr 0.4994 0.5000 0.1308 x1  7 Au 3.13-3.21
5 Au 0.0075 0.5000 0.2723 x1  2 Au 3.08, 2 Pr 3.13-3.21, 5 La 3.18-3.22
6 Au 0.2085 0.5000 0.7739 x1  2 Au 3.07, 6 La 3.14-3.22, 1 Pr 3.20
7 Au 0.5061 0.0000 0.8593 x1  2 Au 3.07, 5 La 3.13-3.23, 2 Pr 3.18
8 Au 0.7069 0.0000 0.3536 x1  2 Au 3.08, 5 La 3.13-3.22, 2 Pr 3.20

- formation enthalpy at 0 K (eV/atom) = -0.8237

Number 1: calculated total energy -4.52 eV per atom. Number 2: calculated total energy -7.72 eV per atom. Number 3: calculated total energy -6.91 eV per atom. Number 4: calculated total energy -3.62 eV per atom. Number 5: calculated total energy -4.87 eV per atom. Number 6: calculated total energy -3.65 eV per atom. Number 7: calculated total energy -5.65 eV per atom. Number 8: calculated total energy -4.90 eV per atom.